# 1
Here is an optimized crystal structure of TlTeOsO from the Open Quantum Materials Database. Energies are from GGA-PBE.

```
data_TlTeOsO
_chemical_formula_sum 'Tl2 Te2 Os2 O2'
_symmetry_space_group_name_H-M 'P 1'
_symmetry_Int_Tables_number 1
_symmetry_space_group_name_Hall 'P 1'
_cell_length_a 3.9429
_cell_length_b 8.1026
_cell_length_c 5.7142
_cell_angle_alpha 90.00
_cell_angle_beta 90.00
_cell_angle_gamma 90.00
loop_
_atom_site_label
_atom_site_type_symbol
_atom_site_fract_x
_atom_site_fract_y
_atom_site_fract_z
O1 O 0.5000 0.1797 0.1860
O2 O 0.5000 0.8203 0.6861
Os1 Os 0.5000 0.0002 0.4364
Os2 Os 0.5000 0.9998 0.9364
Te1 Te 0.0000 0.8464 0.1854
Te2 Te 0.0000 0.1536 0.6854
Tl1 Tl 0.0000 0.3729 0.1832
Tl2 Tl 0.0000 0.6271 0.6832
```

Electronic total energy in eV per atom: -5.61
Magnetization in μB/f.u.: 0.03
Space-group type: Pmc2_1, No. 26
Offset from the most stable computed form in meV per atom: 0.0

=====

# 2
Here is an optimized crystal structure of TlTeOsO from the Open Quantum Materials Database. Energies are from GGA-PBE.

```
data_TlTeOsO
_chemical_formula_sum 'Tl2 Te2 Os2 O2'
_symmetry_space_group_name_H-M 'P 1'
_symmetry_Int_Tables_number 1
_symmetry_space_group_name_Hall 'P 1'
_cell_length_a 4.1787
_cell_length_b 4.1787
_cell_length_c 9.5062
_cell_angle_alpha 90.00
_cell_angle_beta 90.00
_cell_angle_gamma 90.00
loop_
_atom_site_label
_atom_site_type_symbol
_atom_site_fract_x
_atom_site_fract_y
_atom_site_fract_z
O1 O 0.5000 0.0000 0.0000
O2 O 0.0000 0.5000 0.0000
Os1 Os 0.0000 0.0000 0.0646
Os2 Os 0.5000 0.5000 0.9354
Te1 Te 0.5000 0.5000 0.2125
Te2 Te 0.0000 0.0000 0.7875
Tl1 Tl 0.5000 0.0000 0.5000
Tl2 Tl 0.0000 0.5000 0.5000
```

Electronic total energy in eV per atom: -4.88
Magnetization in μB/f.u.: 0.02
Space-group type: P4/nmm, No. 129
Offset from the most stable computed form in meV per atom: 726.3

=====

# 3
Here is an optimized crystal structure of TlOsO3 from the Open Quantum Materials Database. Energies are from GGA-PBE.

```
data_TlOsO3
_chemical_formula_sum 'Tl2 Os2 O6'
_symmetry_space_group_name_H-M 'P 1'
_symmetry_Int_Tables_number 1
_symmetry_space_group_name_Hall 'P 1'
_cell_length_a 5.9192
_cell_length_b 5.9192
_cell_length_c 5.9192
_cell_angle_alpha 70.41
_cell_angle_beta 70.41
_cell_angle_gamma 70.41
loop_
_atom_site_label
_atom_site_type_symbol
_atom_site_fract_x
_atom_site_fract_y
_atom_site_fract_z
O1 O 0.7500 0.4930 0.0070
O2 O 0.5070 0.9930 0.2500
O3 O 0.0070 0.7500 0.4930
O4 O 0.9930 0.2500 0.5070
O5 O 0.4930 0.0070 0.7500
O6 O 0.2500 0.5070 0.9930
Os1 Os 0.2500 0.2500 0.2500
Os2 Os 0.7500 0.7500 0.7500
Tl1 Tl 0.0000 0.0000 0.0000
Tl2 Tl 0.5000 0.5000 0.5000
```

Electronic total energy in eV per atom: -6.37
Magnetization in μB/f.u.: 1.00
Space-group type: R-3c, No. 167

=====

# 4
Here is an optimized crystal structure of TlOsO3 from the Open Quantum Materials Database. Energies are from GGA-PBE.

```
data_TlOsO3
_chemical_formula_sum 'Tl2 Os2 O6'
_symmetry_space_group_name_H-M 'P 1'
_symmetry_Int_Tables_number 1
_symmetry_space_group_name_Hall 'P 1'
_cell_length_a 5.5827
_cell_length_b 5.5827
_cell_length_c 5.5827
_cell_angle_alpha 60.10
_cell_angle_beta 60.10
_cell_angle_gamma 60.10
loop_
_atom_site_label
_atom_site_type_symbol
_atom_site_fract_x
_atom_site_fract_y
_atom_site_fract_z
O1 O 0.7500 0.2534 0.2466
O2 O 0.7466 0.7534 0.2500
O3 O 0.2466 0.7500 0.2534
O4 O 0.7534 0.2500 0.7466
O5 O 0.2534 0.2466 0.7500
O6 O 0.2500 0.7466 0.7534
Os1 Os 0.0000 0.0000 0.0000
Os2 Os 0.5000 0.5000 0.5000
Tl1 Tl 0.2500 0.2500 0.2500
Tl2 Tl 0.7500 0.7500 0.7500
```

Electronic total energy in eV per atom: -6.41
Magnetization in μB/f.u.: 0.02
Space-group type: R-3c, No. 167